1.
La2Sm4Tm, relaxed, DFT PBE-GGA; VASP energy = -4.62 eV/atom; ΔH_f (0 K) = 11.76 kJ/mol of atoms; energy above the lowest structure with this stoichiometry = 2.90 kJ per mole of atoms; magnetic moment = 0.0 μB/cell; space-group type = No. 11
1.0
6.2914 0.0000 -0.2672
0.0000 6.6772 0.0000
-2.3629 0.0000 11.5143
Sm La Tm
8 4 2
Cartesian
3.4187 6.6131 3.1095 Sm
0.5098 0.0641 8.1376 Sm
4.0886 1.6693 6.1143 Sm
-0.1601 5.0079 5.1328 Sm
5.7650 1.6693 1.3452 Sm
-1.8364 5.0079 9.9019 Sm
0.5098 3.2745 8.1376 Sm
3.4187 3.4027 3.1095 Sm
3.0980 5.0079 6.4273 La
0.8305 1.6693 4.8198 La
2.4407 1.6693 -0.0218 La
1.4878 5.0079 11.2689 La
0.5362 5.0079 1.8380 Tm
3.3923 1.6693 9.4091 Tm



2.
SbMo, relaxed, DFT PBE-GGA; raw formation energy = 0.2056 eV per atom; VASP energy = -7.27 eV/atom; magnetic moment = 0.0 μB/cell; space-group type = No. 12
1.0
5.0904 0.0050 0.0015
3.6586 4.6960 0.0007
1.0985 0.3358 3.1427
Sb Mo
2 2
Cartesian
5.0601 2.3770 1.5399 Sb
2.5641 0.6188 0.8189 Sb
7.6285 3.1436 2.3415 Mo
3.6543 4.5481 0.0180 Mo



3.
Ac8Co3Br3N, relaxed, DFT PBE-GGA; raw formation energy = -0.6697 eV per atom; VASP energy = -5.17 eV/atom; magnetic moment = 0.6 μB/cell; space-group type = No. 12
1.0
-1.4117 1.6731 -8.0382
-6.4148 -0.7310 5.2916
5.1555 8.0181 0.7635
Ac Co Br N
8 3 3 1
Cartesian
1.0329 2.9368 -1.6378 Ac
-3.7040 6.0234 -0.3453 Ac
-3.0334 3.4188 -3.0729 Ac
0.2973 3.8086 -5.8262 Ac
-2.9684 5.1516 3.8431 Ac
-0.4312 6.4193 -2.9054 Ac
-2.2399 2.5409 0.9223 Ac
0.3623 5.5413 1.0897 Ac
1.8719 4.8456 -3.6374 Co
-0.6297 3.6435 3.0276 Co
-1.3355 4.4801 -0.9916 Co
-3.9133 0.4710 -1.3733 Br
-3.2074 -0.3655 2.6458 Br
0.0000 0.0000 0.0000 Br
2.5777 4.0090 0.3817 N



4.
Pm6Er2Mg, relaxed, DFT PBE-GGA; VASP energy = -4.34 eV/atom; ΔH_f (0 K) = 2.21 kJ/mol of atoms; energy above the lowest structure with this stoichiometry = 0.00 kJ per mole of atoms; magnetic moment = 0.0 μB/cell; space-group type = No. 136
1.0
-4.2645 2.1381 -1.8306
-0.9041 -7.9094 -7.1315
-5.8180 -5.6282 6.9794
Pm Er Mg
12 4 2
Cartesian
-8.0905 -5.8746 4.8557 Pm
-4.5197 -4.7699 -2.1733 Pm
-6.4669 -6.6295 0.1906 Pm
-4.8605 -7.4674 -4.5311 Pm
-5.4776 -9.9520 1.1355 Pm
-5.5089 -1.4474 -3.1182 Pm
-6.1260 -3.9320 2.5484 Pm
-7.4631 -3.2953 -0.7242 Pm
-0.9768 -0.9563 1.1585 Pm
-3.5235 -8.1041 -1.2585 Pm
-2.8961 -5.5249 -6.8384 Pm
-10.0098 -10.4431 -3.1412 Pm
-9.3923 -5.1471 1.6074 Er
-6.7803 -9.2677 -2.1622 Er
-1.5943 -6.2524 -3.5901 Er
-4.2063 -2.1317 0.1795 Er
-2.9090 -2.8141 3.4897 Mg
-2.5843 -2.8856 -4.4811 Mg



5.
UNiP3, relaxed, DFT PBE-GGA; VASP energy = -7.25 eV/atom; ΔH_f (0 K) = -56.68 kJ/mol of atoms; magnetic moment = 6.1 μB/cell; space-group type = No. 57
1.0
-0.1106 -5.2101 0.7435
2.8883 0.5755 4.4626
-9.4726 1.0566 5.9946
Ni P U
4 12 4
Cartesian
-6.5481 1.4037 8.8618 Ni
-0.0362 0.2285 1.5955 Ni
-6.6034 -1.2013 9.2335 Ni
-0.0915 -2.3766 1.9673 Ni
-2.1974 -1.0493 1.6372 P
1.0680 -0.8830 3.2883 P
-2.5782 0.9609 6.3495 P
-2.6335 -1.6442 6.7212 P
-7.7629 -2.6949 7.9125 P
-4.0614 -1.9338 4.4796 P
-4.0061 0.6713 4.1078 P
-8.5544 -0.2586 6.2324 P
1.8595 -3.3193 4.9684 P
-5.8145 -0.1970 7.0715 P
-4.4975 -2.5286 9.5636 P
-0.8804 -3.3809 4.1293 P
-5.2260 -2.8926 6.9046 U
-6.5662 -0.5656 4.3767 U
-1.4689 -0.6853 4.2962 U
-0.1287 -3.0123 6.8241 U



6.
FeIrRuCl2, relaxed, DFT PBE-GGA; raw formation energy = 1.2693 eV per atom; VASP energy = -4.79 eV/atom; magnetic moment = 4.1 μB/cell; space-group type = No. 123
1.0
-1.7956 2.5475 -3.4949
2.8925 -2.3016 -3.1638
-3.3097 -3.2453 -0.6650
Fe Cl Ir Ru
1 2 1 1
Cartesian
-1.1064 -1.4997 -3.6619 Fe
-0.8978 1.2737 -1.7474 Cl
-1.6549 -1.6226 -0.3325 Cl
0.0000 0.0000 0.0000 Ir
1.4462 -1.1508 -1.5819 Ru



7.
LaCeI6, relaxed, DFT PBE-GGA; raw formation energy = -1.3968 eV per atom; VASP energy = -3.92 eV/atom; energy above the lowest structure with this stoichiometry = 0.00 kJ per mole of atoms; magnetic moment = 1.0 μB/cell; space-group type = No. 12
1.0
-4.5020 6.7288 -1.0108
-3.2271 -7.1689 2.1816
3.2844 1.8768 6.8587
I Ce La
6 1 1
Cartesian
-4.9954 0.1401 2.6049 I
0.5507 1.2966 5.4245 I
-1.3096 2.4535 1.4994 I
-3.1351 -1.0168 6.5300 I
-0.9242 -1.7478 2.4645 I
-3.5205 3.1845 5.5650 I
0.0000 0.0000 0.0000 Ce
-2.2224 0.7183 4.0147 La



8.
LiCd2NO, relaxed, DFT PBE-GGA; raw formation energy = -0.1363 eV per atom; VASP energy = -3.54 eV/atom; magnetic moment = 0.0 μB/cell; space-group type = No. 123
1.0
-3.5573 -0.5898 -2.4465
1.2031 -3.4590 -0.9155
-2.0987 -1.6424 3.4475
Li Cd O N
1 2 1 1
Cartesian
0.6016 -1.7295 -0.4577 Li
-1.0494 -0.8212 1.7238 Cd
-1.7786 -0.2949 -1.2233 Cd
-2.2264 -2.8456 0.0428 O
0.0000 0.0000 0.0000 N



9.
NdGaCuNi3, relaxed, DFT PBE-GGA; VASP energy = -5.01 eV/atom; ΔH_f (0 K) = -13.09 kJ/mol of atoms; magnetic moment = 0.0 μB/cell; space-group type = No. 63
1.0
5.4316 0.0000 0.0000
0.0000 5.1225 0.0000
0.0000 -2.5613 6.9328
Cu Nd Ga Ni
2 2 2 6
Cartesian
4.0737 0.0000 1.5480 Cu
1.3579 2.5613 5.3848 Cu
1.3579 2.5613 2.6243 Nd
4.0737 0.0000 4.3085 Nd
4.0737 2.5613 1.5543 Ga
1.3579 0.0000 5.3785 Ga
2.7158 3.8299 0.0000 Ni
2.7158 1.2926 0.0000 Ni
0.0000 3.8299 0.0000 Ni
0.0000 1.2926 0.0000 Ni
4.0737 2.5613 5.2586 Ni
1.3579 0.0000 1.6742 Ni



10.
Dy2Th2GeIr4, relaxed, DFT PBE-GGA; VASP energy = -7.45 eV/atom; ΔH_f (0 K) = -31.63 kJ/mol of atoms; magnetic moment = 0.0 μB/cell; space-group type = No. 139
1.0
-5.6215 -3.0331 -1.6531
5.6040 -3.4190 0.6626
0.8861 2.3639 6.0959
Th Ir Ge Dy
2 4 1 2
Cartesian
2.0103 -0.3268 2.0935 Th
4.4797 -0.7283 4.6650 Th
-1.2564 -1.8824 0.9126 Ir
2.1249 -2.2058 4.1928 Ir
2.1332 0.8353 4.6597 Ir
4.3569 -1.8904 2.0988 Ir
0.0000 0.0000 0.0000 Ge
-0.7452 -0.5984 3.9110 Dy
1.6138 -3.4898 1.1944 Dy



11.
Ba2Na3Tl2, relaxed, DFT PBE-GGA; VASP energy = -1.98 eV/atom; ΔH_f (0 K) = -17.94 kJ/mol of atoms; magnetic moment = 0.0 μB/cell; space-group type = No. 12
1.0
5.4535 0.0000 0.0000
-2.7267 6.2639 -0.1718
0.0000 -1.6752 8.1101
Tl Na Ba
2 3 2
Cartesian
0.0000 0.0903 5.3942 Tl
2.7267 4.4984 2.5441 Tl
2.7267 1.0210 7.0239 Na
0.0000 3.5678 0.9144 Na
0.0000 0.0000 0.0000 Na
2.7267 0.8911 2.8907 Ba
0.0000 3.6976 5.0475 Ba



12.
KRe3Sn, relaxed, DFT PBE-GGA; VASP energy = -5.77 eV/atom; ΔH_f (0 K) = 262.37 kJ/mol of atoms; energy above the lowest structure with this stoichiometry = 0.00 kJ per mole of atoms; magnetic moment = 5.1 μB/cell; space-group type = No. 221
1.0
5.0514 0.0000 0.0000
0.0000 5.0514 0.0000
0.0000 0.0000 5.0514
K Sn Re
1 1 3
Cartesian
2.5257 2.5257 2.5257 K
0.0000 0.0000 0.0000 Sn
0.0000 2.5257 0.0000 Re
0.0000 0.0000 2.5257 Re
2.5257 0.0000 0.0000 Re